Entry 1:
VASP calculation (PBE-GGA) on a geometry-optimized Y3HoTm7 structure.

Values from the calculation:
* energy above the lowest structure with this stoichiometry: 0.320 eV/f.u.
* E: -4.825 eV/atom
* DOS(E_F): 18.364 states/eV/f.u.
* E_form: 0.20 eV/atom
* volume: 358.96 Å³/cell

The structure in CIF format:
```
data_Y3HoTm7
_chemical_formula_sum 'Y3 Ho1 Tm7'
_cell_length_a 6.9643
_cell_length_b 6.9643
_cell_length_c 8.5458
_cell_angle_alpha 90.00
_cell_angle_beta 90.00
_cell_angle_gamma 120.00
_space_group_name_H-M_alt 'P 3 m 1'
_space_group_IT_number 156
_space_group_name_Hall 'P 3 -2"'
loop_
_atom_site_label
_atom_site_type_symbol
_atom_site_fract_x
_atom_site_fract_y
_atom_site_fract_z
Y1 Y 0.0002 0.5001 0.0000
Ho1 Ho 0.6667 0.3333 0.6623
Tm1 Tm 0.1678 0.3356 0.6627
Tm2 Tm 0.3333 0.6667 0.3370
Tm3 Tm 0.3356 0.1678 0.3364
```

***

Entry 2:
VASP calculation (PBE-GGA) on a geometry-optimized Mg3Ga7Pd2 structure.

Values from the calculation:
* E: -3.296 eV/atom
* DOS(E_F): 3.183 states/eV/f.u.
* E_form: -0.27 eV/atom
* volume: 653.33 Å³/cell

The structure in CIF format:
```
data_Mg3Ga7Pd2
_chemical_formula_sum 'Mg9 Ga21 Pd6'
_cell_length_a 5.4285
_cell_length_b 5.4285
_cell_length_c 25.5998
_cell_angle_alpha 90.00
_cell_angle_beta 90.00
_cell_angle_gamma 120.00
_space_group_name_H-M_alt 'R -3 m'
_space_group_IT_number 166
_space_group_name_Hall '-R 3 2"'
loop_
_atom_site_label
_atom_site_type_symbol
_atom_site_fract_x
_atom_site_fract_y
_atom_site_fract_z
Mg1 Mg 0.0000 0.0000 0.0000
Mg2 Mg 0.0000 0.0000 0.1431
Ga1 Ga 0.0000 0.0000 0.5000
Ga2 Ga 0.0083 0.5042 0.9173
Pd1 Pd 0.0000 0.0000 0.3359
```

***

Entry 3:
VASP calculation (PBE-GGA) on a geometry-optimized YRe2 structure.

Values from the calculation:
* E: -10.133 eV/atom
* DOS(E_F): 2.414 states/eV/f.u.
* E_form: 0.32 eV/atom
* volume: 229.92 Å³/cell

The structure in CIF format:
```
data_YRe2
_chemical_formula_sum 'Y4 Re8'
_cell_length_a 5.868
_cell_length_b 4.471
_cell_length_c 8.762
_cell_angle_alpha 90.00
_cell_angle_beta 90.00
_cell_angle_gamma 90.00
_space_group_name_H-M_alt 'P n m a'
_space_group_IT_number 62
_space_group_name_Hall '-P 2ac 2n'
loop_
_atom_site_label
_atom_site_type_symbol
_atom_site_fract_x
_atom_site_fract_y
_atom_site_fract_z
Y1 Y 0.133 0.250 0.076
Re1 Re 0.058 0.250 0.690
Re2 Re 0.120 0.250 0.406
```

***

Entry 4:
VASP calculation (PBE-GGA) on a geometry-optimized YRh2Se structure.

Values from the calculation:
* E: -6.667 eV/atom
* DOS(E_F): 2.846 states/eV/f.u.
* volume: 301.94 Å³/cell

The structure in CIF format:
```
data_YRh2Se
_chemical_formula_sum 'Y4 Rh8 Se4'
_cell_length_a 5.673
_cell_length_b 5.783
_cell_length_c 9.204
_cell_angle_alpha 90.00
_cell_angle_beta 90.00
_cell_angle_gamma 90.00
_space_group_name_H-M_alt 'F m m m'
_space_group_IT_number 69
_space_group_name_Hall '-F 2 2'
loop_
_atom_site_label
_atom_site_type_symbol
_atom_site_fract_x
_atom_site_fract_y
_atom_site_fract_z
Y1 Y 0.000 0.000 0.000
Rh1 Rh 0.000 0.250 0.250
Se1 Se 0.000 0.000 0.500
```